No. 1
This record from the Alexandria database describes a geometry-optimized AcLaMg structure. The functional is GGA-PBE.

The calculation puts the energy of formation at 0.09 eV per atom. As for the raw total energy: -3.451 eV/atom. The calculation puts the total moment at 0.00 μB per cell.

It has space group I4/mmm (No. 139), with a = 3.6959 Å, b = 3.6959 Å, c = 31.7988 Å, α = 90.00°, β = 90.00° and γ = 90.00°. The asymmetric unit holds Ac at (0.0000, 0.0000, 0.2020), La at (0.0000, 0.0000, 0.0521) and Mg at (0.0000, 0.0000, 0.3758).


No. 2
This record from the Alexandria database describes a geometry-optimized Sm2TlGa2 structure. The functional is GGA-PBE.

The calculation puts the energy of formation at -0.54 eV per atom. As for the raw total energy: -4.115 eV/atom. The calculation puts the total moment at 0.00 μB per cell.

It has space group Cmmm (No. 65), with a = 4.3110 Å, b = 15.3404 Å, c = 3.7258 Å, α = 90.00°, β = 90.00° and γ = 90.00°. The asymmetric unit holds Sm at (0.0000, 0.1269, 0.0000), Tl at (0.0000, 0.5000, 0.5000) and Ga at (0.0000, 0.2960, 0.5000).


No. 3
This record from the Alexandria database describes a geometry-optimized PdS5F structure. The functional is GGA-PBE.

As for the raw total energy: -4.187 eV/atom. As for the formation energy from raw total energies: -0.230 eV/atom. The calculation puts the total moment at 0.00 μB per cell.

It has space group P1 (No. 1), with a = 4.4103 Å, b = 5.3761 Å, c = 7.3669 Å, α = 79.57°, β = 82.66° and γ = 67.93°. The asymmetric unit holds Pd at (0.0000, 0.0000, 0.0000), S at (0.0344, 0.9820, 0.3128), S at (0.2283, 0.2896, 0.3112), S at (0.5887, 0.1205, 0.4852), S at (0.6276, 0.7469, 0.0285), S at (0.7896, 0.4667, 0.8676) and F at (0.0682, 0.9690, 0.7247).


No. 4
This record from the Alexandria database describes a geometry-optimized ZrSc3Co structure. The functional is GGA-PBE.

The calculation puts the energy of formation at 0.08 eV per atom. As for the raw total energy: -6.850 eV/atom. The calculation puts the total moment at 0.37 μB per cell.

It has space group Pm-3m (No. 221), with a = 4.8302 Å, b = 4.8302 Å, c = 4.8302 Å, α = 90.00°, β = 90.00° and γ = 90.00°. The asymmetric unit holds Zr at (0.0000, 0.0000, 0.0000), Sc at (0.0000, 0.5000, 0.5000) and Co at (0.5000, 0.5000, 0.5000).


No. 5
This record from the Alexandria database describes a geometry-optimized Ta2CrCu2 structure. The functional is GGA-PBE.

The calculation puts the energy of formation at 0.32 eV per atom. As for the raw total energy: -7.986 eV/atom. The calculation puts the total moment at 3.95 μB per cell.

It has space group P4/mbm (No. 127), with a = 6.6115 Å, b = 6.6115 Å, c = 3.4421 Å, α = 90.00°, β = 90.00° and γ = 90.00°. The asymmetric unit holds Ta at (0.1749, 0.3251, 0.0000), Cr at (0.0000, 0.0000, 0.5000) and Cu at (0.1267, 0.6267, 0.5000).


No. 6
This record from the Alexandria database describes a geometry-optimized TaCdNi2Sn structure. The functional is GGA-PBE.

The calculation puts the energy of formation at 1.03 eV per atom. As for the raw total energy: -4.638 eV/atom. The calculation puts the total moment at 0.00 μB per cell.

It has space group P4/mmm (No. 123), with a = 4.6508 Å, b = 4.6508 Å, c = 5.3667 Å, α = 90.00°, β = 90.00° and γ = 90.00°. The asymmetric unit holds Ta at (0.0000, 0.0000, 0.0000), Cd at (0.5000, 0.5000, 0.5000), Ni at (0.0000, 0.5000, 0.0000) and Sn at (0.0000, 0.0000, 0.5000).